(1)
Below is SiOsN2F after structural relaxation, with properties calculated at the PBE-GGA level.

a b c (Å): 3.8648 3.8648 4.2259
angles (deg): 90.00 90.00 90.00
With the nearest neighbours (Å) after each atom.
Space group P4/mmm (No. 123)
Unique sites:
Si1 0.0000 0.0000 0.0000 x1  4 F 2.73, 8 N 2.86
Os1 0.5000 0.5000 0.5000 x1  4 N 1.93, 2 F 2.11
N1 0.0000 0.5000 0.5000 x2  2 Os 1.93
F1 0.5000 0.5000 0.0000 x1  2 Os 2.11

## Properties
The density of states at the Fermi level comes out at 2.14 states/eV/f.u. The formation energy (no corrections) is 0.577 eV per atom. The mass density is 6.980 Mg/m³.

***

(2)
Below is SnOsN2F after structural relaxation, with properties calculated at the PBE-GGA level.

a b c (Å): 4.1570 4.1570 3.9545
angles (deg): 90.00 90.00 90.00
With the nearest neighbours (Å) after each atom.
Space group P4/mmm (No. 123)
Unique sites:
Sn1 0.0000 0.0000 0.0000 x1  2 F 1.98, 4 N 2.08
Os1 0.5000 0.5000 0.5000 x1  8 N 2.87, 4 F 2.94
N1 0.0000 0.5000 0.0000 x2  2 Sn 2.08
F1 0.0000 0.0000 0.5000 x1  2 Sn 1.98

## Properties
The density of states at the Fermi level comes out at 4.36 states/eV/f.u. The formation energy (no corrections) is 1.368 eV per atom. The mass density is 8.649 Mg/m³.

***

(3)
Below is SnOsN2F after structural relaxation, with properties calculated at the PBE-GGA level.

a b c (Å): 3.8409 3.8409 4.8177
angles (deg): 90.00 90.00 90.00
With the nearest neighbours (Å) after each atom.
Space group P4/mmm (No. 123)
Unique sites:
Sn1 0.0000 0.0000 0.0000 x1  4 F 2.72
Os1 0.5000 0.5000 0.5000 x1  4 N 1.92
N1 0.0000 0.5000 0.5000 x2  2 Os 1.92
F1 0.5000 0.5000 0.0000 x1  2 Os 2.41

## Properties
The density of states at the Fermi level comes out at 3.35 states/eV/f.u. The formation energy (no corrections) is 0.160 eV per atom. The mass density is 8.316 Mg/m³.

***

> Among the records above, which one has the highest mass density?

number 2

***

> Which of these has the highest formation energy (no corrections)?

number 2

***

> What is the formula in the first record?

SiOsN2F